[1]
SnBi3Pb3: relaxed, GGA-PBE.

Computed properties:
**Mass density**: 9.57 g/cm³
**Distance to the lowest polymorph of the same formula**: 29.9 meV/atom

The structure in POSCAR format:
```
SnBi3Pb3
1.0
5.471 3.159 2.288
-5.471 3.159 2.288
0.000 -6.318 2.288
Sn Bi Pb
1 3 3
Direct
0.000 0.000 0.000
0.504 0.924 0.924
0.924 0.504 0.924
0.924 0.924 0.504
0.013 0.435 0.435
0.435 0.013 0.435
0.435 0.435 0.013
```

***

[2]
SnBiPb3: relaxed, GGA-PBE.

Computed properties:
**Mass density**: 9.39 g/cm³
**Distance to the lowest polymorph of the same formula**: 61.2 meV/atom

The structure in POSCAR format:
```
SnBiPb3
1.0
6.953 0.000 0.000
-2.109 6.718 0.000
-0.857 -3.850 7.191
Sn Bi Pb
2 2 6
Direct
0.100 0.336 0.385
0.900 0.664 0.615
0.416 0.720 0.117
0.584 0.280 0.883
0.047 0.221 0.961
0.234 0.969 0.492
0.484 0.732 0.736
0.516 0.268 0.264
0.766 0.031 0.508
0.953 0.779 0.039
```

***

[3]
SnBi3Pb4: relaxed, GGA-PBE.

Computed properties:
**Mass density**: 10.34 g/cm³
**Distance to the lowest polymorph of the same formula**: 0.0 meV/atom

The structure in POSCAR format:
```
SnBi3Pb4
1.0
5.038 0.000 0.000
0.000 10.086 0.000
0.000 0.000 9.955
Sn Bi Pb
2 6 8
Direct
0.000 0.000 0.000
0.000 0.500 0.500
0.000 0.000 0.498
0.000 0.500 0.998
0.500 0.247 0.999
0.500 0.253 0.499
0.500 0.747 0.499
0.500 0.753 0.999
0.000 0.250 0.230
0.000 0.250 0.730
0.000 0.750 0.230
0.000 0.750 0.730
0.500 0.000 0.265
0.500 0.000 0.771
0.500 0.500 0.271
0.500 0.500 0.765
```

***

[4]
Sn4Bi2Pb3: relaxed, GGA-PBE.

Computed properties:
**Mass density**: 9.24 g/cm³

The structure in POSCAR format:
```
Sn4Bi2Pb3
1.0
7.439 -1.749 0.000
7.439 1.749 0.000
-2.807 0.000 10.462
Sn Bi Pb
4 2 3
Direct
0.007 0.007 0.184
0.328 0.328 0.610
0.672 0.672 0.390
0.993 0.993 0.816
0.331 0.331 0.270
0.669 0.669 0.730
0.000 0.000 0.500
0.348 0.348 0.952
0.652 0.652 0.048
```

***

[5]
Sn2Bi2Pb: relaxed, GGA-PBE.

Computed properties:
**Mass density**: 9.26 g/cm³
**Distance to the lowest polymorph of the same formula**: 0.0 meV/atom

The structure in POSCAR format:
```
Sn2Bi2Pb
1.0
9.551 0.000 0.000
0.000 5.536 0.000
-3.193 0.000 5.852
Sn Bi Pb
4 4 2
Direct
0.092 0.000 0.273
0.408 0.500 0.727
0.592 0.500 0.273
0.908 0.000 0.727
0.230 0.500 0.189
0.270 0.000 0.811
0.730 0.000 0.189
0.770 0.500 0.811
0.000 0.500 0.500
0.500 0.000 0.500
```

***

[6]
Sn2Bi2Pb15: relaxed, GGA-PBE.

Computed properties:
**Mass density**: 9.69 g/cm³

The structure in POSCAR format:
```
Sn2Bi2Pb15
1.0
5.073 2.929 7.234
-5.073 2.929 7.234
0.000 -5.858 7.234
Sn Bi Pb
2 2 15
Direct
0.158 0.158 0.158
0.842 0.842 0.842
0.419 0.419 0.419
0.581 0.581 0.581
0.000 0.500 0.500
0.090 0.090 0.676
0.090 0.676 0.090
0.185 0.500 0.815
0.185 0.815 0.500
0.324 0.910 0.910
0.500 0.000 0.500
0.500 0.185 0.815
0.500 0.500 0.000
0.500 0.815 0.185
0.676 0.090 0.090
0.815 0.185 0.500
0.815 0.500 0.185
0.910 0.324 0.910
0.910 0.910 0.324
```

***

[7]
Sn3BiPb6: relaxed, GGA-PBE.

Computed properties:
**Mass density**: 9.53 g/cm³

The structure in POSCAR format:
```
Sn3BiPb6
1.0
5.471 -9.117 0.000
5.471 9.117 0.000
0.000 0.000 6.314
Sn Bi Pb
6 2 12
Direct
0.099 0.901 0.500
0.246 0.447 0.836
0.447 0.246 0.336
0.553 0.754 0.836
0.754 0.553 0.336
0.901 0.099 0.000
0.283 0.717 0.557
0.717 0.283 0.057
0.055 0.469 0.217
0.126 0.216 0.427
0.192 0.808 0.047
0.216 0.126 0.927
0.443 0.557 0.282
0.469 0.055 0.717
0.531 0.945 0.217
0.557 0.443 0.782
0.784 0.874 0.427
0.808 0.192 0.547
0.874 0.784 0.927
0.945 0.531 0.717
```

***

[8]
Sn3BiPb3: relaxed, GGA-PBE.

Computed properties:
**Mass density**: 6.76 g/cm³
**Distance to the lowest polymorph of the same formula**: 468.6 meV/atom

The structure in POSCAR format:
```
Sn3BiPb3
1.0
8.355 0.000 0.000
0.000 8.355 0.000
0.000 0.000 8.355
Sn Bi Pb
6 2 6
Direct
0.000 0.250 0.500
0.000 0.750 0.500
0.250 0.500 0.000
0.500 0.000 0.250
0.500 0.000 0.750
0.750 0.500 0.000
0.000 0.000 0.000
0.500 0.500 0.500
0.000 0.500 0.250
0.000 0.500 0.750
0.250 0.000 0.500
0.500 0.250 0.000
0.500 0.750 0.000
0.750 0.000 0.500
```

***

[9]
SnBiPb2: relaxed, GGA-PBE.

Computed properties:
**Mass density**: 8.68 g/cm³
**Distance to the lowest polymorph of the same formula**: 55.5 meV/atom

The structure in POSCAR format:
```
SnBiPb2
1.0
5.025 0.000 0.000
-2.513 4.352 0.000
0.000 0.000 19.465
Sn Bi Pb
3 3 6
Direct
0.000 0.000 0.000
0.333 0.667 0.667
0.667 0.333 0.333
0.000 0.000 0.833
0.333 0.667 0.500
0.667 0.333 0.167
0.000 0.000 0.240
0.000 0.000 0.409
0.333 0.667 0.076
0.333 0.667 0.906
0.667 0.333 0.573
0.667 0.333 0.742
```

***

[10]
SnBiPb4: relaxed, GGA-PBE.

Computed properties:
**Mass density**: 9.78 g/cm³
**Distance to the lowest polymorph of the same formula**: 177.5 meV/atom

The structure in POSCAR format:
```
SnBiPb4
1.0
0.000 4.614 4.614
4.614 0.000 4.614
4.614 4.614 0.000
Sn Bi Pb
1 1 4
Direct
0.000 0.000 0.000
0.750 0.750 0.750
0.375 0.375 0.375
0.375 0.375 0.875
0.375 0.875 0.375
0.875 0.375 0.375
```

***

[11]
Sn5Bi3Pb12: relaxed, GGA-PBE.

Computed properties:
**Mass density**: 7.95 g/cm³

The structure in POSCAR format:
```
Sn5Bi3Pb12
1.0
-9.183 9.183 9.183
9.183 -9.183 9.183
9.183 9.183 -9.183
Sn Bi Pb
20 12 48
Direct
0.000 0.000 0.000
0.000 0.000 0.500
0.000 0.500 0.000
0.000 0.500 0.500
0.125 0.750 0.875
0.125 0.875 0.250
0.250 0.125 0.875
0.250 0.625 0.375
0.375 0.250 0.625
0.375 0.625 0.750
0.500 0.000 0.000
0.500 0.000 0.500
0.500 0.500 0.000
0.500 0.500 0.500
0.625 0.375 0.250
0.625 0.750 0.375
0.750 0.375 0.625
0.750 0.875 0.125
0.875 0.125 0.750
0.875 0.250 0.125
0.125 0.250 0.375
0.125 0.375 0.750
0.250 0.375 0.125
0.250 0.875 0.625
0.375 0.125 0.250
0.375 0.750 0.125
0.625 0.250 0.875
0.625 0.875 0.750
0.750 0.125 0.375
0.750 0.625 0.875
0.875 0.625 0.250
0.875 0.750 0.625
0.059 0.225 0.141
0.059 0.334 0.918
0.082 0.641 0.417
0.082 0.941 0.666
0.083 0.725 0.666
0.083 0.859 0.418
0.141 0.059 0.225
0.141 0.582 0.917
0.166 0.225 0.583
0.166 0.441 0.582
0.225 0.141 0.059
0.225 0.583 0.166
0.275 0.334 0.917
0.275 0.441 0.359
0.334 0.917 0.275
0.334 0.918 0.059
0.359 0.275 0.441
0.359 0.583 0.918
0.417 0.082 0.641
0.417 0.834 0.775
0.418 0.083 0.859
0.418 0.834 0.559
0.441 0.359 0.275
0.441 0.582 0.166
0.559 0.418 0.834
0.559 0.641 0.725
0.582 0.166 0.441
0.582 0.917 0.141
0.583 0.166 0.225
0.583 0.918 0.359
0.641 0.417 0.082
0.641 0.725 0.559
0.666 0.082 0.941
0.666 0.083 0.725
0.725 0.559 0.641
0.725 0.666 0.083
0.775 0.417 0.834
0.775 0.859 0.941
0.834 0.559 0.418
0.834 0.775 0.417
0.859 0.418 0.083
0.859 0.941 0.775
0.917 0.141 0.582
0.917 0.275 0.334
0.918 0.059 0.334
0.918 0.359 0.583
0.941 0.666 0.082
0.941 0.775 0.859
```

***

[12]
SnBi2Pb2: relaxed, GGA-PBE.

Computed properties:
**Mass density**: 10.11 g/cm³
**Distance to the lowest polymorph of the same formula**: 0.0 meV/atom

The structure in POSCAR format:
```
SnBi2Pb2
1.0
3.412 0.000 0.000
-0.524 5.487 0.000
-0.658 -2.366 8.344
Sn Bi Pb
1 2 2
Direct
0.000 0.000 0.000
0.443 0.599 0.195
0.557 0.401 0.805
0.270 0.796 0.600
0.730 0.204 0.400
```

***

[13]
SnBiPb2: relaxed, GGA-PBE.

Computed properties:
**Mass density**: 10.15 g/cm³
**Distance to the lowest polymorph of the same formula**: 11.3 meV/atom

The structure in POSCAR format:
```
SnBiPb2
1.0
7.859 0.000 0.000
0.000 7.859 0.000
0.000 0.000 7.859
Sn Bi Pb
4 4 8
Direct
0.000 0.000 0.000
0.000 0.500 0.500
0.500 0.000 0.500
0.500 0.500 0.000
0.000 0.000 0.500
0.000 0.500 0.000
0.500 0.000 0.000
0.500 0.500 0.500
0.250 0.250 0.250
0.250 0.250 0.750
0.250 0.750 0.250
0.250 0.750 0.750
0.750 0.250 0.250
0.750 0.250 0.750
0.750 0.750 0.250
0.750 0.750 0.750
```

***

[14]
SnBi5Pb6: relaxed, GGA-PBE.

Computed properties:
**Mass density**: 10.47 g/cm³

The structure in POSCAR format:
```
SnBi5Pb6
1.0
4.614 -9.032 0.000
4.614 9.032 0.000
-3.805 0.000 4.581
Sn Bi Pb
1 5 6
Direct
0.000 0.000 0.000
0.156 0.844 0.500
0.327 0.673 0.000
0.500 0.500 0.500
0.673 0.327 0.000
0.844 0.156 0.500
0.084 0.416 0.251
0.254 0.254 0.755
0.416 0.084 0.251
0.584 0.916 0.749
0.746 0.746 0.245
0.916 0.584 0.749
```

***

[15]
SnBi4Pb5: relaxed, GGA-PBE.

Computed properties:
**Mass density**: 10.25 g/cm³
**Distance to the lowest polymorph of the same formula**: 0.0 meV/atom

The structure in POSCAR format:
```
SnBi4Pb5
1.0
8.043 -2.883 0.000
8.043 2.883 0.000
-0.864 0.000 6.957
Sn Bi Pb
1 4 5
Direct
0.000 0.000 0.000
0.195 0.195 0.278
0.425 0.425 0.166
0.575 0.575 0.834
0.805 0.805 0.722
0.000 0.000 0.500
0.192 0.192 0.814
0.384 0.384 0.613
0.616 0.616 0.387
0.808 0.808 0.186
```

***

[16]
Sn3BiPb3: relaxed, GGA-PBE.

Computed properties:
**Mass density**: 9.30 g/cm³
**Distance to the lowest polymorph of the same formula**: 0.0 meV/atom

The structure in POSCAR format:
```
Sn3BiPb3
1.0
4.634 2.676 5.698
-4.634 2.676 5.698
0.000 -5.351 5.698
Sn Bi Pb
6 2 6
Direct
0.188 0.599 0.463
0.401 0.537 0.812
0.463 0.188 0.599
0.537 0.812 0.401
0.599 0.463 0.188
0.812 0.401 0.537
0.251 0.251 0.251
0.749 0.749 0.749
0.037 0.329 0.883
0.117 0.963 0.671
0.329 0.883 0.037
0.671 0.117 0.963
0.883 0.037 0.329
0.963 0.671 0.117
```

***

[17]
SnBi2Pb2: relaxed, GGA-PBE.

Computed properties:
**Mass density**: 9.66 g/cm³
**Distance to the lowest polymorph of the same formula**: 22.1 meV/atom

The structure in POSCAR format:
```
SnBi2Pb2
1.0
4.410 0.000 0.000
0.000 4.146 0.000
-2.185 0.000 8.944
Sn Bi Pb
1 2 2
Direct
0.000 0.000 0.000
0.181 0.000 0.368
0.819 0.000 0.632
0.403 0.500 0.807
0.597 0.500 0.193
```

***

[18]
Sn4BiPb2: relaxed, GGA-PBE.

Computed properties:
**Mass density**: 7.70 g/cm³

The structure in POSCAR format:
```
Sn4BiPb2
1.0
6.136 0.000 0.000
0.000 12.616 0.000
0.000 0.000 6.119
Sn Bi Pb
8 2 4
Direct
0.000 0.115 0.000
0.000 0.380 0.500
0.000 0.620 0.500
0.000 0.885 0.000
0.500 0.120 0.500
0.500 0.385 0.000
0.500 0.615 0.000
0.500 0.880 0.500
0.000 0.000 0.500
0.500 0.500 0.500
0.000 0.361 0.000
0.000 0.639 0.000
0.500 0.139 0.000
0.500 0.861 0.000
```

***

[19]
SnBi2Pb2: relaxed, GGA-PBE.

Computed properties:
**Mass density**: 9.51 g/cm³
**Distance to the lowest polymorph of the same formula**: 115.8 meV/atom

The structure in POSCAR format:
```
SnBi2Pb2
1.0
9.816 0.000 0.000
0.000 9.816 0.000
0.000 0.000 3.449
Sn Bi Pb
2 4 4
Direct
0.000 0.000 0.000
0.500 0.500 0.000
0.169 0.331 0.500
0.331 0.831 0.500
0.669 0.169 0.500
0.831 0.669 0.500
0.129 0.629 0.000
0.371 0.129 0.000
0.629 0.871 0.000
0.871 0.371 0.000
```

***

So what do the calculations give for DOS at the Fermi energy? Going down the list: 5.2, 4.5, 4.6, 5.0, 5.1, 10.3, 9.6, 4.8, 6.0, 5.2, 47.2, 2.0, 2.8, 6.0, 4.7, 6.9, 2.5, 5.2, 5.5 states/eV/cell.
So what do the calculations give for E_tot? Going down the list: -26.04, -37.20, -60.46, -34.37, -38.41, -68.51, -74.72, -46.84, -44.74, -21.41, -287.09, -18.87, -60.37, -45.19, -37.65, -53.40, -18.76, -52.17, -36.59 eV/cell.